[1]
Density functional theory data (PBE) for a relaxed structure of CdBi4PbSe8.

Results
Uncorrected energy   -3.9044 eV per atom

Cell: 14.0448 4.2121 15.7434 Å, 90.00 116.04 90.00°
Closest atoms and distances in Å follow each position.
Space group Cm (No. 8)
Inequivalent atoms, fractional coordinates:
Cd (0.0000, 0.0000, 0.0000) x2  4 Se 2.68-3.00
Bi (0.9998, 0.5000, 0.5000) x2  6 Se 2.87-3.06
Bi (0.2170, 0.0000, 0.8693) x2  3 Se 2.74-2.91
Bi (0.2839, 0.5000, 0.1353) x2  3 Se 2.76-2.89
Bi (0.3483, 0.5000, 0.6360) x2  6 Se 2.86-3.13
Pb (0.1405, 0.0000, 0.3620) x2  6 Se 2.93-3.27
Se (0.0017, 0.5000, 0.6951) x2  3 Bi 2.86-3.06
Se (0.1224, 0.5000, 0.9534) x2  3 Bi 2.76-3.08, 2 Cd 3.01
Se (0.1654, 0.0000, 0.1714) x2  1 Cd 2.68, 2 Bi 2.89
Se (0.1673, 0.0000, 0.5672) x2  4 Bi 2.98-3.11, 1 Pb 3.08
Se (0.3334, 0.5000, 0.8284) x2  1 Cd 2.69, 2 Bi 2.91
Se (0.3384, 0.5000, 0.4490) x2  3 Bi 2.89-2.94
Se (0.3799, 0.0000, 0.0483) x2  1 Bi 2.74, 2 Cd 3.00
Se (0.4794, 0.0000, 0.3102) x2  1 Bi 2.87, 2 Pb 2.93



[2]
Density functional theory data (PBE) for a relaxed structure of CdBiPd2.

Results
Uncorrected energy   -3.9645 eV per atom

Cell: 6.8141 6.8141 6.8141 Å, 90.00 90.00 90.00°
Closest atoms and distances in Å follow each position.
Space group F-43m (No. 216)
Inequivalent atoms, fractional coordinates:
Cd (0.0000, 0.0000, 0.0000) x4  4 Bi 2.95, 4 Pd 2.95
Bi (0.2500, 0.2500, 0.7500) x4  4 Cd 2.95, 4 Pd 2.95
Pd (0.0000, 0.0000, 0.5000) x4  4 Pd 2.95, 4 Bi 2.95
Pd (0.2500, 0.2500, 0.2500) x4  4 Cd 2.95, 4 Pd 2.95



[3]
Density functional theory data (PBE) for a relaxed structure of PmCdBi.

Results
Energy relative to the lowest polymorph listed for this composition   0.090 eV/atom
Uncorrected energy   -3.4516 eV per atom

Cell: 7.2389 7.2389 7.2389 Å, 90.00 90.00 90.00°
Closest atoms and distances in Å follow each position.
Space group F-43m (No. 216)
Inequivalent atoms, fractional coordinates:
Pm (0.0000, 0.0000, 0.0000) x4  4 Cd 3.13
Cd (0.2500, 0.2500, 0.7500) x4  4 Bi 3.13, 4 Pm 3.13
Bi (0.0000, 0.0000, 0.5000) x4  4 Cd 3.13



[4]
Density functional theory data (PBE) for a relaxed structure of PmCdBi.

Results
Energy relative to the lowest polymorph listed for this composition   0.000 eV/atom
Uncorrected energy   -3.5414 eV per atom

Cell: 7.4310 7.4310 7.4310 Å, 90.00 90.00 90.00°
Closest atoms and distances in Å follow each position.
Space group F-43m (No. 216)
Inequivalent atoms, fractional coordinates:
Pm (0.0000, 0.0000, 0.0000) x4  4 Cd 3.22, 4 Bi 3.22
Cd (0.2500, 0.2500, 0.2500) x4  4 Pm 3.22
Bi (0.2500, 0.2500, 0.7500) x4  4 Pm 3.22



[5]
Density functional theory data (PBE) for a relaxed structure of Cd2BiPt.

Results
Uncorrected energy   -2.9139 eV per atom

Cell: 7.0485 7.0485 7.0485 Å, 90.00 90.00 90.00°
Closest atoms and distances in Å follow each position.
Space group F-43m (No. 216)
Inequivalent atoms, fractional coordinates:
Cd (0.0000, 0.0000, 0.0000) x4  4 Cd 3.05, 4 Pt 3.05
Cd (0.2500, 0.2500, 0.2500) x4  4 Cd 3.05, 4 Bi 3.05
Bi (0.0000, 0.0000, 0.5000) x4  4 Pt 3.05, 4 Cd 3.05
Pt (0.2500, 0.2500, 0.7500) x4  4 Cd 3.05, 4 Bi 3.05



[6]
Density functional theory data (PBE) for a relaxed structure of CdBi2Pt.

Results
Uncorrected energy   -3.6046 eV per atom

Cell: 7.3313 7.3313 7.3313 Å, 90.00 90.00 90.00°
Closest atoms and distances in Å follow each position.
Space group F-43m (No. 216)
Inequivalent atoms, fractional coordinates:
Cd (0.0000, 0.0000, 0.0000) x4  4 Bi 3.17, 4 Pt 3.17
Bi (0.0000, 0.0000, 0.5000) x4  4 Bi 3.17, 4 Pt 3.17
Bi (0.2500, 0.2500, 0.2500) x4  4 Bi 3.17, 4 Cd 3.17
Pt (0.2500, 0.2500, 0.7500) x4  4 Cd 3.17, 4 Bi 3.17



[7]
Density functional theory data (PBE) for a relaxed structure of RbCdBiSe3.

Results
Uncorrected energy   -3.4402 eV per atom

Cell: 4.3673 15.5776 11.3721 Å, 90.00 90.00 90.00°
Closest atoms and distances in Å follow each position.
Space group Cmcm (No. 63)
Inequivalent atoms, fractional coordinates:
Rb (0.0000, 0.2425, 0.2500) x4  8 Se 3.53-3.85
Cd (0.0000, 0.0417, 0.7500) x4  4 Se 2.64-2.74
Bi (0.0000, 0.5000, 0.0000) x4  6 Se 3.00-3.01
Se (0.0000, 0.1271, 0.5495) x8  1 Cd 2.64
Se (0.0000, 0.4357, 0.7500) x4  2 Cd 2.74, 2 Bi 3.01



[8]
Density functional theory data (PBE) for a relaxed structure of CdReBi.

Results
Uncorrected energy   -4.8615 eV per atom

Cell: 6.5647 6.5647 6.5647 Å, 90.00 90.00 90.00°
Closest atoms and distances in Å follow each position.
Space group F-43m (No. 216)
Inequivalent atoms, fractional coordinates:
Cd (0.0000, 0.0000, 0.0000) x4  4 Re 2.84
Re (0.2500, 0.2500, 0.7500) x4  4 Cd 2.84, 4 Bi 2.84
Bi (0.0000, 0.0000, 0.5000) x4  4 Re 2.84



[9]
Density functional theory data (PBE) for a relaxed structure of Cd2ReBi.

Results
Uncorrected energy   -3.6809 eV per atom

Cell: 6.9527 6.9527 6.9527 Å, 90.00 90.00 90.00°
Closest atoms and distances in Å follow each position.
Space group F-43m (No. 216)
Inequivalent atoms, fractional coordinates:
Cd (0.0000, 0.0000, 0.0000) x4  4 Cd 3.01, 4 Re 3.01
Cd (0.2500, 0.2500, 0.2500) x4  4 Bi 3.01, 4 Cd 3.01
Re (0.2500, 0.2500, 0.7500) x4  4 Cd 3.01, 4 Bi 3.01
Bi (0.0000, 0.0000, 0.5000) x4  4 Cd 3.01, 4 Re 3.01



[10]
Density functional theory data (PBE) for a relaxed structure of CdReBi2.

Results
Uncorrected energy   -4.2931 eV per atom

Cell: 7.1928 7.1928 7.1928 Å, 90.00 90.00 90.00°
Closest atoms and distances in Å follow each position.
Space group F-43m (No. 216)
Inequivalent atoms, fractional coordinates:
Cd (0.0000, 0.0000, 0.0000) x4  4 Re 3.11, 4 Bi 3.11
Re (0.2500, 0.2500, 0.7500) x4  4 Cd 3.11, 4 Bi 3.11
Bi (0.0000, 0.0000, 0.5000) x4  4 Bi 3.11, 4 Re 3.11
Bi (0.2500, 0.2500, 0.2500) x4  4 Cd 3.11, 4 Bi 3.11



[11]
Density functional theory data (PBE) for a relaxed structure of CdBi2S4.

Results
Uncorrected energy   -4.0640 eV per atom

Cell: 13.3833 4.0220 14.6649 Å, 90.00 116.51 90.00°
Closest atoms and distances in Å follow each position.
Space group C2/m (No. 12)
Inequivalent atoms, fractional coordinates:
Cd (0.0000, 0.0000, 0.0000) x2  6 S 2.62-2.84
Cd (0.0000, 0.0000, 0.5000) x2  2 S 2.56
Bi (0.1518, 0.5000, 0.3605) x4  3 S 2.63-2.76
Bi (0.2178, 0.0000, 0.8686) x4  6 S 2.69-3.01
S (0.0026, 0.0000, 0.6753) x4  1 Cd 2.56, 2 Bi 2.76
S (0.1110, 0.5000, 0.9424) x4  3 Bi 2.69-2.94, 2 Cd 2.84
S (0.1680, 0.5000, 0.5463) x4  1 Bi 2.63, 2 Cd 2.86
S (0.1722, 0.0000, 0.1798) x4  1 Cd 2.62, 2 Bi 2.77



[12]
Density functional theory data (PBE) for a relaxed structure of CdBi2Sb.

Results
Uncorrected energy   -3.1254 eV per atom

Cell: 7.7273 7.7273 7.7273 Å, 90.00 90.00 90.00°
Closest atoms and distances in Å follow each position.
Space group F-43m (No. 216)
Inequivalent atoms, fractional coordinates:
Cd (0.0000, 0.0000, 0.0000) x4  4 Sb 3.35, 4 Bi 3.35
Bi (0.0000, 0.0000, 0.5000) x4  4 Bi 3.35, 4 Sb 3.35
Bi (0.2500, 0.2500, 0.2500) x4  4 Cd 3.35, 4 Bi 3.35
Sb (0.2500, 0.2500, 0.7500) x4  4 Cd 3.35, 4 Bi 3.35



> What is the uncorrected energy in the fifth record?

-2.9139 eV per atom



Please write out number 7 again, unchanged.
Density functional theory data (PBE) for a relaxed structure of RbCdBiSe3.

Results
Uncorrected energy   -3.4402 eV per atom

Cell: 4.3673 15.5776 11.3721 Å, 90.00 90.00 90.00°
Closest atoms and distances in Å follow each position.
Space group Cmcm (No. 63)
Inequivalent atoms, fractional coordinates:
Rb (0.0000, 0.2425, 0.2500) x4  8 Se 3.53-3.85
Cd (0.0000, 0.0417, 0.7500) x4  4 Se 2.64-2.74
Bi (0.0000, 0.5000, 0.0000) x4  6 Se 3.00-3.01
Se (0.0000, 0.1271, 0.5495) x8  1 Cd 2.64
Se (0.0000, 0.4357, 0.7500) x4  2 Cd 2.74, 2 Bi 3.01



> The lowest uncorrected energy belongs to which entry?

CdReBi